Material: TmPu
Method: DFT, PBE-GGA
State: relaxed

## Properties
Its excess energy over the best structure of this formula in the dataset is 4.06 eV/f.u. Its density is 12.5 g cm⁻³. The calculated total energy is -7.210 eV per atom. For the total magnetization, the calculation gives 6.13 μB per formula unit. The value obtained for the calculated formation energy is 2.091 eV per atom.

Unit cell a=6.0239 b=6.0239 c=6.0239 alpha=90.00 beta=90.00 gamma=90.00
With the nearest neighbours (Å) after each atom.
Space group F-43m (No. 216)
Symmetry-distinct sites (fractional):
Tm 0.0000 0.0000 0.0000 [4 per cell]  4 Pu 2.61
Pu 0.2500 0.2500 0.2500 [4 per cell]  4 Tm 2.61